1.
Compound: LaAgW2
Source: Alexandria
Functional: GGA-PBE
Structure: relaxed

a b c (Å): 4.694 4.694 6.760
angles (deg): 86.28 86.28 34.85
Fractional positions:
Ag 0.505 0.505 0.450
W 0.999 0.999 0.056
W 0.244 0.244 0.228
La 0.752 0.752 0.766

Results
Energy = -7.7177 eV/atom
Energy of formation = 0.70 eV per atom
Energy above the most stable polymorph in this dataset = 0.312 eV/atom



2.
Compound: LaAgW2
Source: Alexandria
Functional: GGA-PBE
Structure: relaxed

a b c (Å): 3.283 3.281 8.503
angles (deg): 67.31 90.00 90.00
Fractional positions:
Ag 0.000 0.546 0.455
W 0.000 0.939 0.060
W 0.500 0.282 0.219
La 0.500 0.733 0.766

Results
Energy = -8.0298 eV/atom
Energy of formation = 0.39 eV per atom
Energy above the most stable polymorph in this dataset = 0.000 eV/atom



3.
Compound: La2AgW
Source: Alexandria
Functional: GGA-PBE
Structure: relaxed

a b c (Å): 6.625 6.625 6.625
angles (deg): 151.56 131.97 56.77
Fractional positions:
Ag 0.287 0.787 0.500
W 0.482 0.482 0.000
La 0.016 0.016 0.000
La 0.715 0.215 0.500

Results
Energy = -5.9855 eV/atom
Energy of formation = 0.43 eV per atom
Energy above the most stable polymorph in this dataset = 0.118 eV/atom



4.
Compound: La2AgW
Source: Alexandria
Functional: GGA-PBE
Structure: relaxed

a b c (Å): 5.095 5.095 5.095
angles (deg): 60.00 60.00 60.00
Fractional positions:
Ag 0.500 0.500 0.500
W 0.750 0.750 0.750
La 0.000 0.000 0.000
La 0.250 0.250 0.250

Results
Energy = -5.8189 eV/atom
Energy of formation = 0.60 eV per atom
Energy above the most stable polymorph in this dataset = 0.285 eV/atom



5.
Compound: LaAgW2
Source: Alexandria
Functional: GGA-PBE
Structure: relaxed

a b c (Å): 10.940 10.940 10.940
angles (deg): 15.17 15.17 15.17
Fractional positions:
Ag 0.250 0.250 0.250
W 0.991 0.991 0.991
W 0.509 0.509 0.509
La 0.750 0.750 0.750

Results
Energy = -7.4861 eV/atom
Energy of formation = 0.94 eV per atom
Energy above the most stable polymorph in this dataset = 0.544 eV/atom



6.
Compound: LaAgW
Source: Alexandria
Functional: GGA-PBE
Structure: relaxed

a b c (Å): 7.658 7.658 2.919
angles (deg): 79.01 79.02 21.97
Fractional positions:
Ag 0.985 0.985 0.015
W 0.345 0.345 0.655
La 0.670 0.670 0.330

Results
Energy = -6.3328 eV/atom
Energy of formation = 0.58 eV per atom
Energy above the most stable polymorph in this dataset = 0.000 eV/atom



7.
Compound: La4AgW
Source: Alexandria
Functional: GGA-PBE
Structure: relaxed

a b c (Å): 6.253 6.253 6.253
angles (deg): 60.00 60.00 60.00
Fractional positions:
La 0.871 0.376 0.376
La 0.376 0.376 0.871
La 0.376 0.871 0.376
La 0.376 0.376 0.376
Ag 0.000 0.000 0.000
W 0.750 0.750 0.750

Results
Energy = -4.9496 eV/atom
Energy of formation = 0.97 eV per atom



8.
Compound: La4YAg
Source: Alexandria
Functional: GGA-PBE
Structure: relaxed

a b c (Å): 3.773 3.773 13.933
angles (deg): 90.01 90.01 90.01
Fractional positions:
La 0.500 0.500 0.822
La 0.500 0.500 0.178
La 0.000 0.000 0.639
La 0.000 0.000 0.361
Y 0.000 0.000 0.000
Ag 0.500 0.500 0.500

Results
Energy = -4.9053 eV/atom
Energy of formation = -0.07 eV per atom
Energy above the most stable polymorph in this dataset = 0.000 eV/atom



9.
Compound: La2Y2Ag
Source: Alexandria
Functional: GGA-PBE
Structure: relaxed

a b c (Å): 7.704 7.704 5.584
angles (deg): 90.00 90.00 90.00
Fractional positions:
Y 0.349 0.849 0.000
Y 0.849 0.651 0.000
Y 0.651 0.151 0.000
Y 0.151 0.349 0.000
Ag 0.000 0.000 0.000
Ag 0.500 0.500 0.000
La 0.158 0.658 0.500
La 0.658 0.842 0.500
La 0.842 0.342 0.500
La 0.342 0.158 0.500

Results
Energy = -5.0743 eV/atom
Energy of formation = 0.05 eV per atom
Energy above the most stable polymorph in this dataset = 0.155 eV/atom



10.
Compound: LaY2Ag2
Source: Alexandria
Functional: GGA-PBE
Structure: relaxed

a b c (Å): 3.673 5.419 13.849
angles (deg): 90.00 97.60 90.00
Fractional positions:
La 0.856 0.750 0.711
La 0.144 0.250 0.289
Y 0.047 0.750 0.094
Y 0.953 0.250 0.906
Y 0.234 0.750 0.467
Y 0.766 0.250 0.533
Ag 0.642 0.750 0.283
Ag 0.358 0.250 0.717
Ag 0.457 0.750 0.914
Ag 0.543 0.250 0.086

Results
Energy = -4.9293 eV/atom
Energy of formation = -0.22 eV per atom
Energy above the most stable polymorph in this dataset = 0.000 eV/atom



11.
Compound: LaY5Ag6
Source: Alexandria
Functional: GGA-PBE
Structure: relaxed

a b c (Å): 5.218 7.297 8.264
angles (deg): 90.00 71.60 90.00
Fractional positions:
Y 0.665 0.500 0.669
Y 0.332 0.000 0.337
Y 0.000 0.500 0.000
Y 0.668 0.000 0.663
Y 0.335 0.500 0.331
Ag 0.829 0.744 0.342
Ag 0.829 0.256 0.342
Ag 0.500 0.262 0.000
Ag 0.500 0.738 0.000
Ag 0.171 0.744 0.658
Ag 0.171 0.256 0.658
La 0.000 0.000 0.000

Results
Energy = -4.8417 eV/atom
Energy of formation = -0.31 eV per atom



12.
Compound: La3Y2Ag3
Source: Alexandria
Functional: GGA-PBE
Structure: relaxed

a b c (Å): 3.749 5.521 11.722
angles (deg): 103.62 99.20 90.00
Fractional positions:
La 0.379 0.379 0.758
La 0.621 0.621 0.242
La 0.500 0.000 0.000
Y 0.268 0.768 0.536
Y 0.732 0.232 0.464
Ag 0.877 0.877 0.753
Ag 0.000 0.500 0.000
Ag 0.123 0.123 0.247

Results
Energy = -4.7251 eV/atom
Energy of formation = -0.19 eV per atom